An optimized crystal structure of TeAs2Pt, computed with GGA-PBE.

Results
M_tot = 0.00 μB/f.u.
final energy = -4.711 eV/atom

a = 6.981 Å, b = 6.981 Å, c = 6.981 Å
α = 32.23°, β = 32.23°, γ = 32.23°
Atoms (fractional coordinates):
Te  0.000  0.000  0.000
As  0.233  0.233  0.233
As  0.767  0.767  0.767
Pt  0.500  0.500  0.500